Entry 1:
# Tb4Pm19Er6 (PBE, optimized geometry)
data_Tb4Pm19Er6
_cell_length_a 12.6224
_cell_length_b 12.6224
_cell_length_c 12.6224
_cell_angle_alpha 90.00
_cell_angle_beta 90.00
_cell_angle_gamma 90.00
_symmetry_space_group_name_H-M 'I 2 3'
_symmetry_Int_Tables_number 197
_symmetry_space_group_name_Hall 'I 2 2 3'
loop_
_atom_site_label
_atom_site_type_symbol
_atom_site_fract_x
_atom_site_fract_y
_atom_site_fract_z
Tb1 Tb 0.1803 0.1803 0.8197
Pm1 Pm 0.0000 0.0000 0.0000
Pm2 Pm 0.0000 0.0000 0.2605
Pm3 Pm 0.0617 0.2631 0.2806
Er1 Er 0.0000 0.3753 0.5000
# - Energy of formation from the pure elements: 10.76 eV/f.u.



Entry 2:
# CuBOs2C (PBE, optimized geometry)
data_CuBOs2C
_cell_length_a 4.2703
_cell_length_b 4.2703
_cell_length_c 2.9909
_cell_angle_alpha 90.00
_cell_angle_beta 90.00
_cell_angle_gamma 90.00
_symmetry_space_group_name_H-M 'P 4/m m m'
_symmetry_Int_Tables_number 123
_symmetry_space_group_name_Hall '-P 4 2'
loop_
_atom_site_label
_atom_site_type_symbol
_atom_site_fract_x
_atom_site_fract_y
_atom_site_fract_z
Cu1 Cu 0.0000 0.0000 0.0000
B1 B 0.5000 0.5000 0.0000
Os1 Os 0.0000 0.5000 0.5000
C1 C 0.5000 0.5000 0.5000
# - Energy of formation from the pure elements: 4.05 eV/f.u.



Entry 3:
# Sc2BeTl (PBE, optimized geometry)
data_Sc2BeTl
_cell_length_a 4.4753
_cell_length_b 4.4753
_cell_length_c 3.9667
_cell_angle_alpha 90.00
_cell_angle_beta 90.00
_cell_angle_gamma 90.00
_symmetry_space_group_name_H-M 'P 4/m m m'
_symmetry_Int_Tables_number 123
_symmetry_space_group_name_Hall '-P 4 2'
loop_
_atom_site_label
_atom_site_type_symbol
_atom_site_fract_x
_atom_site_fract_y
_atom_site_fract_z
Sc1 Sc 0.0000 0.5000 0.0000
Be1 Be 0.0000 0.0000 0.5000
Tl1 Tl 0.5000 0.5000 0.5000
# - Energy of formation from the pure elements: -0.20 eV/f.u.
# - Energy relative to the lowest polymorph listed for this composition: 2.208 kcal/mol of atoms



Entry 4:
# RbTcGe2W (PBE, optimized geometry)
data_RbTcGe2W
_cell_length_a 5.0411
_cell_length_b 5.0411
_cell_length_c 4.9523
_cell_angle_alpha 90.00
_cell_angle_beta 90.00
_cell_angle_gamma 90.00
_symmetry_space_group_name_H-M 'P 4/m m m'
_symmetry_Int_Tables_number 123
_symmetry_space_group_name_Hall '-P 4 2'
loop_
_atom_site_label
_atom_site_type_symbol
_atom_site_fract_x
_atom_site_fract_y
_atom_site_fract_z
Rb1 Rb 0.0000 0.0000 0.0000
Tc1 Tc 0.5000 0.5000 0.0000
Ge1 Ge 0.0000 0.5000 0.5000
W1 W 0.5000 0.5000 0.5000
# - Energy of formation from the pure elements: 4.17 eV/f.u.



Entry 5:
# CsPa2Te8 (PBE, optimized geometry)
data_CsPa2Te8
_cell_length_a 9.6481
_cell_length_b 13.5651
_cell_length_c 5.9704
_cell_angle_alpha 90.00
_cell_angle_beta 95.97
_cell_angle_gamma 90.00
_symmetry_space_group_name_H-M 'C 1 2/m 1'
_symmetry_Int_Tables_number 12
loop_
_symmetry_equiv_pos_as_xyz
'x,y,z'
'-x,-y,-z'
'-x,y,-z'
'x,-y,z'
'x+1/2,y+1/2,z'
'-x+1/2,-y+1/2,-z'
'-x+1/2,y+1/2,-z'
'x+1/2,-y+1/2,z'
loop_
_atom_site_label
_atom_site_type_symbol
_atom_site_fract_x
_atom_site_fract_y
_atom_site_fract_z
Cs1 Cs 0.0000 0.0000 0.0000
Pa1 Pa 0.0000 0.3028 0.5000
Te1 Te 0.0000 0.2715 0.0000
Te2 Te 0.0804 0.5000 0.8105
Te3 Te 0.2061 0.1249 0.5470
# - Energy relative to the elements, uncorrected: -622 meV/atom



Entry 6:
# CrMo2 (PBE, optimized geometry)
data_CrMo2
_cell_length_a 4.1111
_cell_length_b 4.1111
_cell_length_c 2.9219
_cell_angle_alpha 90.00
_cell_angle_beta 90.00
_cell_angle_gamma 90.00
_symmetry_space_group_name_H-M 'P 4/m m m'
_symmetry_Int_Tables_number 123
_symmetry_space_group_name_Hall '-P 4 2'
loop_
_atom_site_label
_atom_site_type_symbol
_atom_site_fract_x
_atom_site_fract_y
_atom_site_fract_z
Cr1 Cr 0.0000 0.0000 0.0000
Mo1 Mo 0.0000 0.5000 0.5000
# - Energy of formation from the pure elements: 2.41 eV/f.u.
# - Energy relative to the lowest polymorph listed for this composition: 17.347 kcal/mol of atoms



Entry 7:
# MnSnP2S (PBE, optimized geometry)
data_MnSnP2S
_cell_length_a 5.0204
_cell_length_b 5.0204
_cell_length_c 4.9939
_cell_angle_alpha 90.00
_cell_angle_beta 90.00
_cell_angle_gamma 90.00
_symmetry_space_group_name_H-M 'P 4/m m m'
_symmetry_Int_Tables_number 123
_symmetry_space_group_name_Hall '-P 4 2'
loop_
_atom_site_label
_atom_site_type_symbol
_atom_site_fract_x
_atom_site_fract_y
_atom_site_fract_z
Mn1 Mn 0.0000 0.0000 0.0000
Sn1 Sn 0.5000 0.5000 0.5000
P1 P 0.0000 0.5000 0.5000
S1 S 0.5000 0.5000 0.0000
# - Energy relative to the elements, uncorrected: 1067 meV/atom
# - Energy relative to the lowest polymorph listed for this composition: 19.321 kcal/mol of atoms